Entry from Alexandria: a geometry-optimized SrMg2MnO4 structure (PBE with a Hubbard U).

Cell: 5.7711 5.7711 11.4130 Å, 90.00 90.00 147.42°
Positions (direct):
Sr 0.1284 0.8716 0.7500
Sr 0.8716 0.1284 0.2500
Mg 0.3707 0.6293 0.5282
Mg 0.3707 0.6293 0.9718
Mg 0.6293 0.3707 0.0282
Mg 0.6293 0.3707 0.4718
Mn 0.1385 0.8615 0.2500
Mn 0.8615 0.1385 0.7500
O 0.0000 0.0000 0.0000
O 0.0000 0.0000 0.5000
O 0.2511 0.7489 0.1087
O 0.2511 0.7489 0.3913
O 0.4666 0.5334 0.7500
O 0.5334 0.4666 0.2500
O 0.7489 0.2511 0.6087
O 0.7489 0.2511 0.8913

electronic total energy: -6.249 eV/atom
DOS(E_F): 0.00 states/eV/f.u.
magnetization: 10.0 μB/cell